## TlMoIr (GGA-PBE)

Data for a geometry-optimized TlMoIr structure.

Summary:
Space group: I4mm
Crystal system: tetragonal
Formation energy in eV per atom: 0.29

Cell and atoms, written as CIF:
```
data_TlMoIr
_chemical_formula_sum 'Tl1 Mo1 Ir1'
_symmetry_space_group_name_H-M 'P 1'
_symmetry_Int_Tables_number 1
_cell_length_a 6.442
_cell_length_b 6.442
_cell_length_c 6.442
_cell_angle_alpha 153.44
_cell_angle_beta 153.44
_cell_angle_gamma 37.92
loop_
_symmetry_equiv_pos_as_xyz
'x,y,z'
loop_
_atom_site_label
_atom_site_fract_x
_atom_site_fract_y
_atom_site_fract_z
Tl1 0.000 0.000 0.000
Mo1 0.684 0.684 0.000
Ir1 0.316 0.316 0.000
```

## LiTm3O (GGA-PBE)

Data for a geometry-optimized LiTm3O structure.

Summary:
Uncorrected formation energy in meV per atom: -1027
Space group: Pm-3m
Crystal system: cubic

Cell and atoms, written as CIF:
```
data_LiTm3O
_chemical_formula_sum 'Li1 Tm3 O1'
_symmetry_space_group_name_H-M 'P 1'
_symmetry_Int_Tables_number 1
_cell_length_a 4.726
_cell_length_b 4.726
_cell_length_c 4.726
_cell_angle_alpha 90.00
_cell_angle_beta 90.00
_cell_angle_gamma 90.00
loop_
_symmetry_equiv_pos_as_xyz
'x,y,z'
loop_
_atom_site_label
_atom_site_fract_x
_atom_site_fract_y
_atom_site_fract_z
Li1 0.000 0.000 0.000
Tm1 0.000 0.500 0.500
Tm2 0.500 0.000 0.500
Tm3 0.500 0.500 0.000
O1 0.500 0.500 0.500
```

## Sr2HgPt (GGA-PBE)

Data for a geometry-optimized Sr2HgPt structure.

Summary:
Space group: P2_1/m
Crystal system: monoclinic
Formation energy in eV per atom: -0.67

Cell and atoms, written as CIF:
```
data_Sr2HgPt
_chemical_formula_sum 'Sr4 Hg2 Pt2'
_symmetry_space_group_name_H-M 'P 1'
_symmetry_Int_Tables_number 1
_cell_length_a 6.344
_cell_length_b 4.620
_cell_length_c 8.801
_cell_angle_alpha 90.00
_cell_angle_beta 110.28
_cell_angle_gamma 90.00
loop_
_symmetry_equiv_pos_as_xyz
'x,y,z'
loop_
_atom_site_label
_atom_site_fract_x
_atom_site_fract_y
_atom_site_fract_z
Sr1 0.187 0.250 0.419
Sr2 0.268 0.750 0.060
Sr3 0.732 0.250 0.940
Sr4 0.813 0.750 0.581
Hg1 0.372 0.750 0.714
Hg2 0.628 0.250 0.286
Pt1 0.142 0.250 0.785
Pt2 0.858 0.750 0.215
```

## Sm3Tc2N6 (GGA-PBE)

Data for a geometry-optimized Sm3Tc2N6 structure.

Summary:
Uncorrected formation energy in meV per atom: -826
Space group: I4/mmm
Crystal system: tetragonal

Cell and atoms, written as CIF:
```
data_Sm3Tc2N6
_chemical_formula_sum 'Sm3 Tc2 N6'
_symmetry_space_group_name_H-M 'P 1'
_symmetry_Int_Tables_number 1
_cell_length_a 10.041
_cell_length_b 10.041
_cell_length_c 10.041
_cell_angle_alpha 157.51
_cell_angle_beta 157.51
_cell_angle_gamma 32.01
loop_
_symmetry_equiv_pos_as_xyz
'x,y,z'
loop_
_atom_site_label
_atom_site_fract_x
_atom_site_fract_y
_atom_site_fract_z
Sm1 0.000 0.000 0.000
Sm2 0.183 0.183 0.000
Sm3 0.817 0.817 0.000
Tc1 0.407 0.407 0.000
Tc2 0.593 0.593 0.000
N1 0.086 0.586 0.500
N2 0.301 0.301 0.000
N3 0.414 0.914 0.500
N4 0.586 0.086 0.500
N5 0.699 0.699 0.000
N6 0.914 0.414 0.500
```

## Sc2TiV (GGA-PBE)

Data for a geometry-optimized Sc2TiV structure.

Summary:
Space group: I-42d
Excess energy over the best structure of this formula in the dataset in meV/atom: 360
Crystal system: tetragonal
Formation energy in eV per atom: 0.62

Cell and atoms, written as CIF:
```
data_Sc2TiV
_chemical_formula_sum 'Sc4 Ti2 V2'
_symmetry_space_group_name_H-M 'P 1'
_symmetry_Int_Tables_number 1
_cell_length_a 6.020
_cell_length_b 6.020
_cell_length_c 6.020
_cell_angle_alpha 103.47
_cell_angle_beta 103.47
_cell_angle_gamma 122.28
loop_
_symmetry_equiv_pos_as_xyz
'x,y,z'
loop_
_atom_site_label
_atom_site_fract_x
_atom_site_fract_y
_atom_site_fract_z
Sc1 0.108 0.625 0.983
Sc2 0.375 0.358 0.483
Sc3 0.642 0.125 0.017
Sc4 0.875 0.892 0.517
Ti1 0.250 0.750 0.500
Ti2 0.500 0.500 0.000
V1 0.000 0.000 0.000
V2 0.750 0.250 0.500
```

## Ca3In2Ga4 (GGA-PBE)

Data for a geometry-optimized Ca3In2Ga4 structure.

Summary:
Space group: P3m1
Excess energy over the best structure of this formula in the dataset in meV/atom: 0
Crystal system: trigonal
Formation energy in eV per atom: -0.46

Cell and atoms, written as CIF:
```
data_Ca3In2Ga4
_chemical_formula_sum 'Ca6 In4 Ga8'
_symmetry_space_group_name_H-M 'P 1'
_symmetry_Int_Tables_number 1
_cell_length_a 4.671
_cell_length_b 4.671
_cell_length_c 22.573
_cell_angle_alpha 90.00
_cell_angle_beta 90.00
_cell_angle_gamma 120.00
loop_
_symmetry_equiv_pos_as_xyz
'x,y,z'
loop_
_atom_site_label
_atom_site_fract_x
_atom_site_fract_y
_atom_site_fract_z
Ca1 0.000 0.000 0.000
Ca2 0.000 0.000 0.160
Ca3 0.000 0.000 0.329
Ca4 0.000 0.000 0.490
Ca5 0.000 0.000 0.670
Ca6 0.000 0.000 0.831
In1 0.333 0.667 0.561
In2 0.667 0.333 0.256
In3 0.667 0.333 0.599
In4 0.667 0.333 0.927
Ga1 0.333 0.667 0.094
Ga2 0.333 0.667 0.224
Ga3 0.333 0.667 0.423
Ga4 0.333 0.667 0.765
Ga5 0.333 0.667 0.895
Ga6 0.667 0.333 0.066
Ga7 0.667 0.333 0.395
Ga8 0.667 0.333 0.737
```